{
  "formula": "LiGaPt2",
  "functional": "GGA-PBE",
  "state": "relaxed",
  "final_energy_ev_per_atom": -4.995,
  "rho_g_cm3": 13.85,
  "cell": [[4.034, 0.000, 0.000], [0.000, 4.034, 0.000], [0.000, 0.000, 3.441]],
  "species": ["Li", "Ga", "Pt", "Pt"],
  "frac_coords": [[0.000, 0.000, 0.000], [0.500, 0.500, 0.000], [0.000, 0.500, 0.500], [0.500, 0.000, 0.500]]
}

{
  "formula": "TmHgAsO",
  "functional": "GGA-PBE",
  "state": "relaxed",
  "e_above_lowest_polymorph_mev_per_atom": 272.0,
  "final_energy_ev_per_atom": -4.855,
  "rho_g_cm3": 7.65,
  "cell": [[4.635, 0.000, 0.000], [0.000, 6.492, 0.000], [0.000, 0.000, 6.647]],
  "species": ["Tm", "Tm", "Hg", "Hg", "As", "As", "O", "O"],
  "frac_coords": [[0.000, 0.128, 0.000], [0.000, 0.872, 0.500], [0.500, 0.333, 0.434], [0.500, 0.667, 0.934], [0.500, 0.288, 0.820], [0.500, 0.712, 0.320], [0.000, 0.126, 0.315], [0.000, 0.874, 0.815]]
}

{
  "formula": "YInFeS3",
  "functional": "GGA-PBE",
  "state": "relaxed",
  "final_energy_ev_per_atom": -5.971,
  "rho_g_cm3": 4.08,
  "cell": [[1.966, -7.075, 0.000], [1.966, 7.075, 0.000], [0.000, 0.000, 10.402]],
  "species": ["Y", "Y", "In", "In", "Fe", "Fe", "S", "S", "S", "S", "S", "S"],
  "frac_coords": [[0.000, 0.000, 0.000], [0.000, 0.000, 0.500], [0.249, 0.751, 0.750], [0.751, 0.249, 0.250], [0.471, 0.529, 0.250], [0.529, 0.471, 0.750], [0.063, 0.937, 0.250], [0.376, 0.624, 0.072], [0.376, 0.624, 0.428], [0.624, 0.376, 0.572], [0.624, 0.376, 0.928], [0.937, 0.063, 0.750]]
}

Copy entry 1 word for word.
{
  "formula": "LiGaPt2",
  "functional": "GGA-PBE",
  "state": "relaxed",
  "final_energy_ev_per_atom": -4.995,
  "rho_g_cm3": 13.85,
  "cell": [[4.034, 0.000, 0.000], [0.000, 4.034, 0.000], [0.000, 0.000, 3.441]],
  "species": ["Li", "Ga", "Pt", "Pt"],
  "frac_coords": [[0.000, 0.000, 0.000], [0.500, 0.500, 0.000], [0.000, 0.500, 0.500], [0.500, 0.000, 0.500]]
}

What did the second record say?
{
  "formula": "TmHgAsO",
  "functional": "GGA-PBE",
  "state": "relaxed",
  "e_above_lowest_polymorph_mev_per_atom": 272.0,
  "final_energy_ev_per_atom": -4.855,
  "rho_g_cm3": 7.65,
  "cell": [[4.635, 0.000, 0.000], [0.000, 6.492, 0.000], [0.000, 0.000, 6.647]],
  "species": ["Tm", "Tm", "Hg", "Hg", "As", "As", "O", "O"],
  "frac_coords": [[0.000, 0.128, 0.000], [0.000, 0.872, 0.500], [0.500, 0.333, 0.434], [0.500, 0.667, 0.934], [0.500, 0.288, 0.820], [0.500, 0.712, 0.320], [0.000, 0.126, 0.315], [0.000, 0.874, 0.815]]
}